1.
Material: Ce2Al4AgPd3
Method: DFT, PBE
State: relaxed

Cell: 4.301 4.301 10.579 Å, 90.00 90.00 90.00°
Space group P-4m2 (No. 115)
Asymmetric unit:
Ce: 0.000 0.500 0.242 x2
Al: 0.000 0.000 0.000 x1
Al: 0.000 0.500 0.634 x2
Al: 0.500 0.500 0.000 x1
Ag: 0.000 0.000 0.500 x1
Pd: 0.000 0.500 0.869 x2
Pd: 0.500 0.500 0.500 x1

Results
- Energy relative to the elements: -0.68 eV/atom

---

2.
Material: CePmAlAg
Method: DFT, PBE
State: relaxed

Cell: 7.464 7.464 7.464 Å, 90.00 90.00 90.00°
Space group F-43m (No. 216)
Asymmetric unit:
Ce: 0.000 0.000 0.000 x4
Pm: 0.000 0.000 0.500 x4
Al: 0.250 0.250 0.750 x4
Ag: 0.250 0.250 0.250 x4

Results
- Energy relative to the elements: -0.19 eV/atom

---

3.
Material: Ce2AlAgS5
Method: DFT, PBE
State: relaxed

Cell: 3.880 17.412 11.374 Å, 90.00 90.00 90.00°
Space group Cmc2_1 (No. 36)
Asymmetric unit:
Ce: 0.000 0.120 0.000 x4
Ce: 0.000 0.126 0.622 x4
Al: 0.000 0.433 0.771 x4
Ag: 0.000 0.227 0.343 x4
S: 0.000 0.041 0.374 x4
S: 0.000 0.293 0.999 x4
S: 0.000 0.319 0.676 x4
S: 0.000 0.369 0.315 x4
S: 0.000 0.497 0.597 x4

Results
- E_form (uncorrected): -1.39 eV per atom

---

4.
Material: CeYAlAg
Method: DFT, PBE
State: relaxed

Cell: 7.383 7.383 7.383 Å, 90.00 90.00 90.00°
Space group F-43m (No. 216)
Asymmetric unit:
Ce: 0.000 0.000 0.000 x4
Y: 0.000 0.000 0.500 x4
Al: 0.250 0.250 0.250 x4
Ag: 0.250 0.250 0.750 x4

Results
- Energy relative to the elements: -0.23 eV/atom

---

5.
Material: Ce2Al4Zn3Ag
Method: DFT, PBE
State: relaxed

Cell: 4.280 4.280 10.739 Å, 90.00 90.00 90.00°
Space group P-4m2 (No. 115)
Asymmetric unit:
Ce: 0.000 0.500 0.248 x2
Al: 0.000 0.000 0.000 x1
Al: 0.000 0.500 0.635 x2
Al: 0.500 0.500 0.000 x1
Zn: 0.000 0.500 0.865 x2
Zn: 0.500 0.500 0.500 x1
Ag: 0.000 0.000 0.500 x1

Results
- Energy relative to the elements: -0.34 eV/atom

---

6.
Material: CeAl2Zn4Ag
Method: DFT, PBE
State: relaxed

Cell: 4.3950 4.3950 26.0112 Å, 90.00 90.00 120.00°
Space group R-3m (No. 166, hexagonal axes)
Asymmetric unit:
Ce: 0.0000 0.0000 0.0000 x3
Al: 0.0000 0.0000 0.2502 x6
Zn: 0.0000 0.0000 0.1264 x6
Zn: 0.0000 0.0000 0.3964 x6
Ag: 0.0000 0.0000 0.5000 x3

Results
- Energy relative to the elements: -0.15 eV/atom

---

| no. | calculated volume (Å³/cell) | M_tot (μB per formula unit) |
| --- | --- | --- |
| 1 | 196 | 1.44 |
| 2 | 416 | 1.45 |
| 3 | 768 | 2.01 |
| 4 | 402 | 1.25 |
| 5 | 197 | 1.35 |
| 6 | 435 | 0.03 |